{
  "formula": "Ti3InN",
  "functional": "PBE",
  "state": "optimized geometry",
  "n_ef_per_ev_cell": 3.1,
  "raw_formation_energy_mev_per_atom": -863,
  "spacegroup": "No. 221",
  "energy_ha_per_atom": -0.287,
  "lattice": [[4.202, 0.000, 0.000], [0.000, 4.202, 0.000], [0.000, 0.000, 4.202]],
  "species": ["N", "Ti", "Ti", "Ti", "In"],
  "fractional_positions": [[0.000, 0.000, 0.000], [0.000, 0.500, 0.000], [0.000, 0.000, 0.500], [0.500, 0.000, 0.000], [0.500, 0.500, 0.500]]
}

***

{
  "formula": "TiInN3",
  "functional": "PBE",
  "state": "optimized geometry",
  "n_ef_per_ev_cell": 3.6,
  "raw_formation_energy_mev_per_atom": 489,
  "spacegroup": "No. 221",
  "energy_ha_per_atom": -0.244,
  "lattice": [[3.952, 0.000, 0.000], [0.000, 3.952, 0.000], [0.000, 0.000, 3.952]],
  "species": ["N", "N", "N", "Ti", "In"],
  "fractional_positions": [[0.000, 0.500, 0.000], [0.000, 0.000, 0.500], [0.500, 0.000, 0.000], [0.000, 0.000, 0.000], [0.500, 0.500, 0.500]]
}

***

{
  "formula": "TiInN3",
  "functional": "PBE",
  "state": "optimized geometry",
  "n_ef_per_ev_cell": 3.4,
  "raw_formation_energy_mev_per_atom": 1607,
  "spacegroup": "No. 221",
  "energy_ha_per_atom": -0.203,
  "lattice": [[4.037, 0.000, 0.000], [0.000, 4.037, 0.000], [0.000, 0.000, 4.037]],
  "species": ["N", "N", "N", "Ti", "In"],
  "fractional_positions": [[0.000, 0.500, 0.000], [0.000, 0.000, 0.500], [0.500, 0.000, 0.000], [0.500, 0.500, 0.500], [0.000, 0.000, 0.000]]
}

***

{
  "formula": "Ti7In2N2",
  "functional": "PBE",
  "state": "optimized geometry",
  "n_ef_per_ev_cell": 10.1,
  "raw_formation_energy_mev_per_atom": -351,
  "spacegroup": "No. 65",
  "energy_ha_per_atom": -0.271,
  "lattice": [[5.575, -0.005, -0.590], [0.000, 5.825, 0.005], [-0.936, 0.000, 5.527]],
  "species": ["Ti", "Ti", "Ti", "Ti", "Ti", "Ti", "Ti", "In", "In", "N", "N"],
  "fractional_positions": [[0.000, 0.216, 0.500], [0.500, 0.784, 0.000], [0.000, 0.784, 0.500], [0.500, 0.216, 0.000], [0.000, 0.000, 0.000], [0.500, 0.790, 0.500], [0.500, 0.210, 0.500], [0.808, 0.500, 0.808], [0.192, 0.500, 0.192], [0.729, 0.000, 0.271], [0.271, 0.000, 0.729]]
}

***

{
  "formula": "Ti3InN",
  "functional": "PBE",
  "state": "optimized geometry",
  "n_ef_per_ev_cell": 8.2,
  "raw_formation_energy_mev_per_atom": -852,
  "spacegroup": "No. 65",
  "energy_ha_per_atom": -0.287,
  "lattice": [[3.105, 0.000, 0.000], [0.000, 6.995, 1.941], [0.000, 0.386, 7.249]],
  "species": ["Ti", "Ti", "Ti", "Ti", "Ti", "Ti", "In", "In", "N", "N"],
  "fractional_positions": [[0.863, 0.342, 0.820], [0.863, 0.046, 0.673], [0.863, 0.621, 0.099], [0.363, 0.973, 0.025], [0.863, 0.767, 0.394], [0.363, 0.416, 0.468], [0.363, 0.694, 0.746], [0.863, 0.194, 0.246], [0.363, 0.694, 0.246], [0.363, 0.194, 0.746]]
}

***

{
  "formula": "Ti6In3N",
  "functional": "PBE",
  "state": "optimized geometry",
  "n_ef_per_ev_cell": 12.8,
  "raw_formation_energy_mev_per_atom": -309,
  "spacegroup": "No. 12",
  "energy_ha_per_atom": -0.246,
  "lattice": [[6.962, -1.145, -0.809], [2.532, 5.040, 0.034], [2.532, 1.716, 4.739]],
  "species": ["Ti", "Ti", "Ti", "Ti", "Ti", "Ti", "In", "In", "In", "N"],
  "fractional_positions": [[0.390, 0.145, 0.644], [0.610, 0.356, 0.855], [0.610, 0.855, 0.356], [0.390, 0.644, 0.145], [0.230, 0.677, 0.677], [0.770, 0.323, 0.323], [0.227, 0.202, 0.202], [0.773, 0.798, 0.798], [0.000, 0.000, 0.000], [0.500, 0.500, 0.500]]
}

***

{
  "formula": "Ti2InN",
  "functional": "PBE",
  "state": "optimized geometry",
  "n_ef_per_ev_cell": 4.8,
  "raw_formation_energy_mev_per_atom": -540,
  "spacegroup": "No. 122",
  "energy_ha_per_atom": -0.267,
  "lattice": [[6.249, 0.000, 0.000], [0.000, 6.249, 0.000], [3.125, 3.125, 3.464]],
  "species": ["N", "N", "Ti", "Ti", "Ti", "Ti", "In", "In"],
  "fractional_positions": [[0.500, 0.500, 0.000], [0.250, 0.750, 0.500], [0.505, 0.125, 0.250], [0.245, 0.625, 0.250], [0.375, 0.495, 0.750], [0.875, 0.755, 0.750], [0.000, 0.000, 0.000], [0.750, 0.250, 0.500]]
}

***

{
  "formula": "Ti7In3N2",
  "functional": "PBE",
  "state": "optimized geometry",
  "n_ef_per_ev_cell": 9.7,
  "raw_formation_energy_mev_per_atom": -589,
  "spacegroup": "No. 65",
  "energy_ha_per_atom": -0.267,
  "lattice": [[-2.525, -0.219, 3.207], [-0.974, -3.853, -1.030], [9.127, -2.000, 7.049]],
  "species": ["Ti", "Ti", "Ti", "Ti", "Ti", "Ti", "Ti", "In", "In", "In", "N", "N"],
  "fractional_positions": [[0.500, 0.700, 0.400], [0.500, 0.300, 0.600], [0.000, 0.596, 0.192], [0.000, 0.000, 0.000], [0.000, 0.404, 0.808], [0.500, 0.903, 0.805], [0.500, 0.097, 0.195], [0.500, 0.500, 0.000], [0.000, 0.198, 0.395], [0.000, 0.802, 0.605], [0.500, 0.614, 0.227], [0.500, 0.386, 0.773]]
}

***

{
  "formula": "TiIn4N4",
  "functional": "PBE",
  "state": "optimized geometry",
  "n_ef_per_ev_cell": 0.1,
  "raw_formation_energy_mev_per_atom": -6,
  "spacegroup": "No. 2",
  "energy_ha_per_atom": -0.213,
  "lattice": [[6.319, 0.006, -0.006], [3.429, 5.445, -0.005], [0.691, 2.445, 8.628]],
  "species": ["N", "N", "N", "N", "N", "N", "N", "N", "Ti", "Ti", "In", "In", "In", "In", "In", "In", "In", "In"],
  "fractional_positions": [[0.948, 0.613, 0.657], [0.052, 0.387, 0.343], [0.944, 0.819, 0.942], [0.056, 0.181, 0.058], [0.455, 0.928, 0.820], [0.545, 0.072, 0.180], [0.410, 0.781, 0.446], [0.590, 0.219, 0.554], [0.746, 0.911, 0.741], [0.254, 0.089, 0.259], [0.783, 0.663, 0.138], [0.217, 0.337, 0.862], [0.701, 0.233, 0.976], [0.299, 0.767, 0.024], [0.778, 0.445, 0.542], [0.222, 0.555, 0.458], [0.230, 0.955, 0.635], [0.770, 0.045, 0.365]]
}

***

{
  "formula": "Ti2InN",
  "functional": "PBE",
  "state": "optimized geometry",
  "n_ef_per_ev_cell": 4.8,
  "raw_formation_energy_mev_per_atom": -1073,
  "spacegroup": "No. 194",
  "energy_ha_per_atom": -0.286,
  "lattice": [[-0.556, -0.918, 2.900], [2.461, -1.090, -1.522], [7.748, 10.696, 4.870]],
  "species": ["N", "N", "Ti", "Ti", "Ti", "Ti", "In", "In"],
  "fractional_positions": [[0.000, 0.000, 0.000], [0.000, 0.000, 0.500], [0.667, 0.333, 0.921], [0.333, 0.667, 0.421], [0.333, 0.667, 0.079], [0.667, 0.333, 0.579], [0.667, 0.333, 0.250], [0.333, 0.667, 0.750]]
}

***

{
  "formula": "Ti2InN",
  "functional": "PBE",
  "state": "optimized geometry",
  "n_ef_per_ev_cell": 3.8,
  "raw_formation_energy_mev_per_atom": 694,
  "spacegroup": "No. 225",
  "energy_ha_per_atom": -0.221,
  "lattice": [[4.426, -0.172, -0.270], [2.181, -3.547, 1.536], [1.943, -2.809, -2.834]],
  "species": ["N", "Ti", "Ti", "In"],
  "fractional_positions": [[0.000, 0.000, 0.000], [0.250, 0.250, 0.250], [0.750, 0.750, 0.750], [0.500, 0.500, 0.500]]
}

***

{
  "formula": "Ti2InN",
  "functional": "PBE",
  "state": "optimized geometry",
  "n_ef_per_ev_cell": 8.1,
  "raw_formation_energy_mev_per_atom": -834,
  "spacegroup": "No. 62",
  "energy_ha_per_atom": -0.277,
  "lattice": [[-0.373, -1.359, 3.813], [5.547, -2.311, -0.281], [3.724, 8.526, 3.403]],
  "species": ["Ti", "Ti", "Ti", "Ti", "Ti", "Ti", "Ti", "Ti", "In", "In", "In", "In", "N", "N", "N", "N"],
  "fractional_positions": [[0.750, 0.098, 0.429], [0.250, 0.902, 0.571], [0.750, 0.598, 0.071], [0.250, 0.402, 0.929], [0.750, 0.163, 0.756], [0.250, 0.337, 0.256], [0.750, 0.663, 0.744], [0.250, 0.837, 0.244], [0.750, 0.095, 0.108], [0.250, 0.905, 0.892], [0.750, 0.595, 0.392], [0.250, 0.405, 0.608], [0.250, 0.583, 0.101], [0.250, 0.083, 0.399], [0.750, 0.417, 0.899], [0.750, 0.917, 0.601]]
}